Below is a geometry-optimized La2ScHgPb structure, with properties calculated at the PBE-GGA level.

Unit cell a=5.7073 b=5.4544 c=5.7073 alpha=90.00 beta=90.00 gamma=90.00
Element x y z (fractional)
Hg (0.5000, 0.5000, 0.5000)
La (0.0000, 0.0000, 0.5000)
La (0.5000, 0.0000, 0.0000)
Pb (0.0000, 0.5000, 0.0000)
Sc (0.0000, 0.0000, 0.0000)

Results
SG = No. 123
Fermi-level density of states = 7.92 states/eV/f.u.
DFT formation energy = 0.268 eV per atom
Total magnetization = 0.34 μB/f.u.